CaYCdAg | PBE | optimized geometry

space group	F-43m (216)
distance to the lowest polymorph of the same formula	18	meV/atom
energy of formation from the pure elements	-0.312	eV per atom
total moment	0.00	μB per cell
D(E_F)	3.19	states/eV/f.u.

Lattice parameters (Å, degrees): 5.2633 5.2633 5.2633 60.00 60.00 60.00
Element x y z (fractional)
Cd 0.5000 0.5000 0.5000
Y 0.7500 0.7500 0.7500
Ca 0.2500 0.2500 0.2500
Ag 0.0000 0.0000 0.0000